An optimized crystal structure of BaH3Pd, computed with PBE.

abc: 13.250 3.765 6.025
angles: 90.00 111.63 90.00
Space group C2/m (No. 12)
Unique sites:
1 Ba 0.092 0.000 0.308 (multiplicity 4)
2 H 0.068 0.500 0.972 (multiplicity 4)
3 H 0.153 0.000 0.831 (multiplicity 4)
4 H 0.204 0.500 0.602 (multiplicity 4)
5 Pd 0.153 0.500 0.825 (multiplicity 4)

E = -3.812 eV/atom